GGA-PBEsol BaMn3Pt, relaxed; N(E_F) = 0.855 states/eV per atom; final energy = -7.086 eV per atom; space-group type = Pm-3m; formation energy = 0.5934 eV per atom
1.0
-0.523 -2.502 -4.228
3.307 -3.324 1.557
-3.633 -2.665 2.027
Mn Ba Pt
3 1 1
Cartesian
-0.262 -1.251 -2.114
1.654 -1.662 0.779
-1.817 -1.333 1.013
-0.425 -4.245 -0.322
0.000 0.000 0.000